Here is a relaxed Ca2HfRu crystal from Alexandria via LeMat-Bulk. Energies are from GGA-PBE.

abc: 10.501 10.501 7.815
angles: 47.79 47.79 90.00
Fractional positions:
Ru: 0.500 0.500 0.000
Ru: 0.250 0.750 0.500
Ca: 0.481 0.125 0.250
Ca: 0.269 0.625 0.250
Ca: 0.375 0.519 0.750
Ca: 0.875 0.731 0.750
Hf: 0.000 0.000 0.000
Hf: 0.750 0.250 0.500

Values from the calculation:
Calculated total energy   -5.331 eV/atom
Energy above the most stable polymorph in this dataset   0 meV/atom
Formation energy   0.4772 eV/atom